No. 1
# CaPtIN2

Crystalline CaPtIN2 at its relaxed geometry (PBE-GGA, Alexandria via LeMat-Bulk).

The structure belongs to space group P4/mmm (No. 123); the cell edges are 3.9980, 3.9980 and 6.7792 Å and the angles 90.00°, 90.00° and 90.00°. The distinct sites, in fractional coordinates, are Ca at (0.0000, 0.0000, 0.0000), Pt at (0.5000, 0.5000, 0.5000), I at (0.5000, 0.5000, 0.0000) and N at (0.0000, 0.5000, 0.5000).

As for the formation energy from raw total energies: 0.7041 eV per atom. The electronic total energy is -4.545 eV/atom.


No. 2
# RbCaIN2

Crystalline RbCaIN2 at its relaxed geometry (PBE-GGA, Alexandria via LeMat-Bulk).

The structure belongs to space group P4/mmm (No. 123); the cell edges are 5.0118, 5.0118 and 6.3943 Å and the angles 90.00°, 90.00° and 90.00°. The distinct sites, in fractional coordinates, are Rb at (0.0000, 0.0000, 0.0000), Ca at (0.5000, 0.5000, 0.5000), I at (0.5000, 0.5000, 0.0000) and N at (0.0000, 0.5000, 0.5000).

As for the formation energy from raw total energies: 0.4422 eV per atom. The electronic total energy is -3.792 eV/atom.


No. 3
# RbCaIN2

Crystalline RbCaIN2 at its relaxed geometry (PBE-GGA, Alexandria via LeMat-Bulk).

The structure belongs to space group P4/mmm (No. 123); the cell edges are 5.1021, 5.1021 and 6.5406 Å and the angles 90.00°, 90.00° and 90.00°. The distinct sites, in fractional coordinates, are Rb at (0.0000, 0.0000, 0.0000), Ca at (0.5000, 0.5000, 0.5000), I at (0.0000, 0.0000, 0.5000) and N at (0.0000, 0.5000, 0.0000).

As for the formation energy from raw total energies: 1.3128 eV per atom. The electronic total energy is -2.921 eV/atom.


No. 4
# RbCaI2N

Crystalline RbCaI2N at its relaxed geometry (PBE-GGA, Alexandria via LeMat-Bulk).

The structure belongs to space group P4/mmm (No. 123); the cell edges are 6.6719, 6.6719 and 5.2039 Å and the angles 90.00°, 90.00° and 90.00°. The distinct sites, in fractional coordinates, are Rb at (0.0000, 0.0000, 0.0000), Ca at (0.5000, 0.5000, 0.5000), I at (0.0000, 0.5000, 0.0000) and N at (0.0000, 0.0000, 0.5000).

As for the formation energy from raw total energies: 0.3176 eV per atom. The electronic total energy is -2.561 eV/atom.